# Pr3TmMg2

Pr3TmMg2 after structural relaxation (PBE, the Alexandria database).

```
6
Lattice="3.843 0.000 0.000 0.000 3.843 0.000 0.000 0.000 12.643" Properties=species:S:1:pos:R:3 pbc="T T T"
Pr 0.000 0.000 0.000
Pr 0.000 0.000 8.675
Pr 0.000 0.000 3.968
Tm 1.921 1.921 6.321
Mg 1.921 1.921 10.655
Mg 1.921 1.921 1.988
```

Output
Calculated density: 5.7 g/cm³
Fermi-level density of states: 7.18 states/eV/cell
Raw total energy: -3.720 eV per atom
Space group: P4/mmm, No. 123
Total magnetic moment: 0.00 μB per cell